<w>
The following is a DFT calculation (PBE) of Mo2WBr after structural relaxation.

Results
Mass density in Mg/m³: 11.058
DOS(E_F) in states/eV/f.u.: 3.946
Total moment in μB per formula unit: 0.0

Structure (CIF):
```
data_Mo2WBr
_chemical_formula_sum 'Mo2 W1 Br1'
_symmetry_space_group_name_H-M 'P 4/m m m'
_symmetry_Int_Tables_number 123
_symmetry_space_group_name_Hall '-P 4 2'
_cell_length_a 3.100
_cell_length_b 3.100
_cell_length_c 7.120
_cell_angle_alpha 90.00
_cell_angle_beta 90.00
_cell_angle_gamma 90.00
loop_
_atom_site_label
_atom_site_type_symbol
_atom_site_fract_x
_atom_site_fract_y
_atom_site_fract_z
Mo1 Mo 0.000 0.000 0.225
W1 W 0.500 0.500 0.000
Br1 Br 0.500 0.500 0.500
```

=====

<x>
The following is a DFT calculation (PBE) of Mo2WBr after structural relaxation.

Results
Mass density in Mg/m³: 11.405
DOS(E_F) in states/eV/f.u.: 5.109
Total moment in μB per formula unit: 0.0

Structure (CIF):
```
data_Mo2WBr
_chemical_formula_sum 'Mo8 W4 Br4'
_symmetry_space_group_name_H-M 'F m -3 m'
_symmetry_Int_Tables_number 225
_symmetry_space_group_name_Hall '-F 4 2 3'
_cell_length_a 6.426
_cell_length_b 6.426
_cell_length_c 6.426
_cell_angle_alpha 90.00
_cell_angle_beta 90.00
_cell_angle_gamma 90.00
loop_
_atom_site_label
_atom_site_type_symbol
_atom_site_fract_x
_atom_site_fract_y
_atom_site_fract_z
Mo1 Mo 0.250 0.250 0.250
W1 W 0.000 0.000 0.000
Br1 Br 0.000 0.000 0.500
```

=====

<y>
The following is a DFT calculation (PBE) of Mo2WBr after structural relaxation.

Results
Mass density in Mg/m³: 11.062
DOS(E_F) in states/eV/f.u.: 3.307
Total moment in μB per formula unit: 0.0

Structure (CIF):
```
data_Mo2WBr
_chemical_formula_sum 'Mo4 W2 Br2'
_symmetry_space_group_name_H-M 'C 1 2/m 1'
_symmetry_Int_Tables_number 12
_cell_length_a 9.618
_cell_length_b 3.058
_cell_length_c 4.682
_cell_angle_alpha 90.00
_cell_angle_beta 96.68
_cell_angle_gamma 90.00
loop_
_symmetry_equiv_pos_as_xyz
'x,y,z'
'-x,-y,-z'
'-x,y,-z'
'x,-y,z'
'x+1/2,y+1/2,z'
'-x+1/2,-y+1/2,-z'
'-x+1/2,y+1/2,-z'
'x+1/2,-y+1/2,z'
loop_
_atom_site_label
_atom_site_type_symbol
_atom_site_fract_x
_atom_site_fract_y
_atom_site_fract_z
Mo1 Mo 0.233 0.000 0.215
W1 W 0.000 0.500 0.000
Br1 Br 0.000 0.000 0.500
```

=====

<z>
The following is a DFT calculation (PBE) of Mo2WBr after structural relaxation.

Results
Mass density in Mg/m³: 11.548
DOS(E_F) in states/eV/f.u.: 3.363
Total moment in μB per formula unit: 0.0

Structure (CIF):
```
data_Mo2WBr
_chemical_formula_sum 'Mo2 W1 Br1'
_symmetry_space_group_name_H-M 'P m m m'
_symmetry_Int_Tables_number 47
_cell_length_a 3.033
_cell_length_b 4.595
_cell_length_c 4.702
_cell_angle_alpha 90.00
_cell_angle_beta 90.00
_cell_angle_gamma 90.00
loop_
_symmetry_equiv_pos_as_xyz
'x,y,z'
'-x,-y,-z'
'-x,-y,z'
'x,y,-z'
'x,-y,-z'
'-x,y,z'
'-x,y,-z'
'x,-y,z'
loop_
_atom_site_label
_atom_site_type_symbol
_atom_site_fract_x
_atom_site_fract_y
_atom_site_fract_z
Mo1 Mo 0.000 0.000 0.000
Mo2 Mo 0.500 0.000 0.500
W1 W 0.000 0.500 0.500
Br1 Br 0.500 0.500 0.000
```

=====

Of them, the most stable is <w> and the least stable is <x>.